No. 1
This record from Alexandria via LeMat-Bulk describes crystalline Cu12Se5Cl3 at its relaxed geometry. The functional is PBE.

Cell: 12.460 12.460 12.460 Å, 109.47 109.47 109.47°
Positions (direct):
Cl  0.750  0.375  0.125
Cl  0.875  0.750  0.125
Cl  0.375  0.750  0.625
Cl  0.250  0.125  0.375
Cl  0.875  0.125  0.250
Cl  0.375  0.625  0.250
Cl  0.625  0.375  0.750
Cl  0.125  0.875  0.750
Cl  0.750  0.875  0.625
Cl  0.625  0.250  0.375
Cl  0.125  0.250  0.875
Cl  0.250  0.625  0.875
Se  0.125  0.375  0.250
Se  0.000  0.500  0.000
Se  0.000  0.000  0.000
Se  0.375  0.250  0.125
Se  0.500  0.000  0.500
Se  0.500  0.500  0.000
Se  0.125  0.750  0.375
Se  0.750  0.125  0.875
Se  0.750  0.625  0.375
Se  0.375  0.125  0.750
Se  0.625  0.875  0.250
Se  0.500  0.500  0.500
Se  0.500  0.000  0.000
Se  0.000  0.000  0.500
Se  0.250  0.375  0.625
Se  0.250  0.875  0.125
Se  0.000  0.500  0.500
Se  0.875  0.250  0.625
Se  0.625  0.750  0.875
Se  0.875  0.625  0.750
Cu  0.726  0.102  0.046
Cu  0.320  0.546  0.444
Cu  0.954  0.398  0.274
Cu  0.546  0.226  0.102
Cu  0.624  0.726  0.680
Cu  0.954  0.556  0.180
Cu  0.320  0.774  0.376
Cu  0.056  0.876  0.102
Cu  0.556  0.954  0.680
Cu  0.726  0.624  0.180
Cu  0.774  0.454  0.398
Cu  0.820  0.944  0.046
Cu  0.102  0.726  0.546
Cu  0.398  0.444  0.124
Cu  0.124  0.944  0.398
Cu  0.376  0.102  0.556
Cu  0.124  0.180  0.226
Cu  0.454  0.680  0.056
Cu  0.820  0.876  0.274
Cu  0.102  0.376  0.056
Cu  0.398  0.954  0.774
Cu  0.556  0.602  0.376
Cu  0.944  0.820  0.546
Cu  0.774  0.320  0.876
Cu  0.444  0.398  0.624
Cu  0.056  0.180  0.454
Cu  0.226  0.680  0.124
Cu  0.180  0.124  0.726
Cu  0.602  0.046  0.226
Cu  0.898  0.624  0.944
Cu  0.546  0.320  0.944
Cu  0.624  0.898  0.444
Cu  0.876  0.820  0.774
Cu  0.876  0.056  0.602
Cu  0.898  0.274  0.454
Cu  0.180  0.056  0.954
Cu  0.602  0.556  0.876
Cu  0.444  0.046  0.320
Cu  0.274  0.376  0.820
Cu  0.226  0.546  0.602
Cu  0.944  0.124  0.898
Cu  0.680  0.226  0.624
Cu  0.454  0.774  0.898
Cu  0.046  0.444  0.820
Cu  0.376  0.274  0.320
Cu  0.046  0.602  0.726
Cu  0.680  0.454  0.556
Cu  0.274  0.898  0.954

---

No. 2
This record from Alexandria via LeMat-Bulk describes crystalline ScMoCl2 at its relaxed geometry. The functional is PBE.

Cell: 6.111 6.111 6.111 Å, 145.42 145.42 49.71°
Last column: magnetic moment on the atom in μB.
Positions (direct):
Sc  0.750  0.250  0.500  -0.14
Mo  0.500  0.500  0.000  1.72
Cl  0.000  0.000  0.000  0.04
Cl  0.250  0.750  0.500  0.03

Values from the calculation:
distance to the lowest polymorph of the same formula = 825 meV per atom

---

No. 3
This record from Alexandria via LeMat-Bulk describes crystalline Ho2Er3Ni2 at its relaxed geometry. The functional is PBE.

Cell: 3.568 6.281 8.904 Å, 115.49 90.00 106.50°
Positions (direct):
Ho  0.833  0.667  0.189
Ho  0.167  0.333  0.811
Er  0.500  0.000  0.000
Er  0.615  0.231  0.434
Er  0.385  0.769  0.566
Ni  0.826  0.653  0.761
Ni  0.174  0.347  0.239

Values from the calculation:
ΔE_f = -0.273 eV per atom

---

No. 4
This record from Alexandria via LeMat-Bulk describes crystalline Sm4HgSb at its relaxed geometry. The functional is PBE.

Cell: 6.293 7.441 9.043 Å, 100.85 110.36 90.00°
Positions (direct):
Sm  0.538  0.055  0.851
Sm  0.687  0.445  0.149
Sm  0.462  0.945  0.149
Sm  0.313  0.555  0.851
Sm  0.965  0.888  0.704
Sm  0.262  0.612  0.296
Sm  0.035  0.112  0.296
Sm  0.738  0.388  0.704
Hg  0.500  0.000  0.500
Hg  0.000  0.500  0.500
Sb  0.871  0.750  0.000
Sb  0.129  0.250  0.000

---

No. 5
This record from Alexandria via LeMat-Bulk describes crystalline Pm5Pb2O12 at its relaxed geometry. The functional is PBE.

Cell: 6.288 7.210 7.664 Å, 105.70 90.00 115.85°
Last column: magnetic moment on the atom in μB.
Positions (direct):
Pm  0.300  0.600  0.638  0.00
Pm  0.304  0.608  0.164  -0.01
Pm  0.000  0.000  0.500  -0.01
Pm  0.696  0.392  0.836  -0.01
Pm  0.700  0.400  0.362  0.00
Pb  0.755  0.000  0.000  0.00
Pb  0.245  0.000  0.000  0.00
O  0.997  0.995  0.197  0.03
O  0.099  0.653  0.907  0.06
O  0.554  0.653  0.907  0.06
O  0.094  0.691  0.428  0.17
O  0.597  0.691  0.428  0.17
O  0.501  0.003  0.799  0.04
O  0.499  0.997  0.201  0.04
O  0.906  0.309  0.572  0.17
O  0.403  0.309  0.572  0.17
O  0.901  0.347  0.093  0.06
O  0.446  0.347  0.093  0.06
O  0.003  0.005  0.803  0.03

---

No. 6
This record from Alexandria via LeMat-Bulk describes crystalline AlCd2Bi2 at its relaxed geometry. The functional is PBE.

Cell: 8.872 8.872 3.596 Å, 90.00 90.00 90.00°
Positions (direct):
Al  0.000  0.000  0.000
Al  0.500  0.500  0.000
Bi  0.315  0.815  0.000
Bi  0.815  0.685  0.000
Bi  0.685  0.185  0.000
Bi  0.185  0.315  0.000
Cd  0.118  0.618  0.500
Cd  0.618  0.882  0.500
Cd  0.882  0.382  0.500
Cd  0.382  0.118  0.500

Values from the calculation:
distance to the lowest polymorph of the same formula = 0 meV per atom
ΔE_f = 0.258 eV per atom

---

No. 7
This record from Alexandria via LeMat-Bulk describes crystalline Ca8CdNi2 at its relaxed geometry. The functional is PBE.

Cell: 5.815 8.070 8.070 Å, 111.71 97.58 97.58°
Positions (direct):
Ca  0.583  0.333  0.066
Ca  0.583  0.066  0.333
Ca  0.204  0.385  0.385
Ca  0.000  0.248  0.758
Ca  0.000  0.758  0.248
Ca  0.796  0.622  0.622
Ca  0.416  0.940  0.673
Ca  0.416  0.673  0.940
Cd  0.001  0.003  0.003
Ni  0.500  0.688  0.317
Ni  0.500  0.317  0.688

Values from the calculation:
ΔE_f = -0.080 eV per atom

---

No. 8
This record from Alexandria via LeMat-Bulk describes crystalline Ba2AsRh at its relaxed geometry. The functional is PBE.

Cell: 4.586 4.586 8.401 Å, 79.94 79.94 48.64°
Positions (direct):
As  0.250  0.250  0.250
Rh  0.750  0.750  0.750
Ba  0.001  0.001  0.988
Ba  0.499  0.499  0.512

Values from the calculation:
ΔE_f = -0.190 eV per atom

---

No. 9
This record from Alexandria via LeMat-Bulk describes crystalline Ga4PtAu at its relaxed geometry. The functional is PBE.

Cell: 4.285 4.286 6.192 Å, 89.99 89.99 90.00°
Positions (direct):
Ga  0.501  0.997  0.258
Ga  0.501  0.997  0.739
Ga  0.001  0.497  0.739
Ga  0.001  0.497  0.258
Pt  0.001  0.997  0.498
Au  0.501  0.497  0.998

Values from the calculation:
distance to the lowest polymorph of the same formula = 0 meV per atom
ΔE_f = -0.418 eV per atom

---

No. 10
This record from Alexandria via LeMat-Bulk describes crystalline Hf3TiMo at its relaxed geometry. The functional is PBE.

Cell: 4.971 4.971 4.971 Å, 90.00 90.00 90.00°
Positions (direct):
Mo  0.000  0.000  0.000
Hf  0.000  0.500  0.000
Hf  0.000  0.000  0.500
Hf  0.500  0.000  0.000
Ti  0.500  0.500  0.500

Values from the calculation:
distance to the lowest polymorph of the same formula = 0 meV per atom
ΔE_f = 0.903 eV per atom

---

No. 11
This record from Alexandria via LeMat-Bulk describes crystalline Ce8Ge5As at its relaxed geometry. The functional is PBE.

Cell: 7.763 7.763 7.763 Å, 109.48 109.45 109.48°
Last column: magnetic moment on the atom in μB.
Positions (direct):
Ce  0.124  0.746  0.017  0.75
Ce  0.983  0.106  0.729  0.75
Ce  0.770  0.252  0.376  0.75
Ce  0.624  0.394  0.876  0.75
Ce  0.483  0.606  0.230  0.75
Ce  0.623  0.894  0.876  0.75
Ce  0.271  0.254  0.377  0.75
Ce  0.124  0.748  0.517  0.75
Ge  0.000  0.373  0.123  -0.03
Ge  0.877  0.877  0.250  -0.03
Ge  0.750  0.627  0.627  -0.03
Ge  0.500  0.000  0.500  -0.03
Ge  0.373  0.123  0.000  -0.03
As  0.250  0.500  0.750  -0.03

Values from the calculation:
ΔE_f = -0.777 eV per atom

---

No. 12
This record from Alexandria via LeMat-Bulk describes crystalline ErFeTcB2 at its relaxed geometry. The functional is PBE.

Cell: 3.589 3.589 5.422 Å, 109.33 109.33 90.00°
Last column: magnetic moment on the atom in μB.
Positions (direct):
Er  0.000  0.000  0.000  -0.10
Fe  0.250  0.750  0.500  1.95
Tc  0.750  0.250  0.500  0.38
B  0.603  0.603  0.206  -0.05
B  0.397  0.397  0.794  -0.05

Values from the calculation:
ΔE_f = -0.379 eV per atom

---

No. 13
This record from Alexandria via LeMat-Bulk describes crystalline Cd4ReP at its relaxed geometry. The functional is PBE.

Cell: 5.503 5.503 5.503 Å, 60.00 60.00 60.00°
Positions (direct):
Cd  0.374  0.877  0.374
Cd  0.877  0.374  0.374
Cd  0.374  0.374  0.877
Cd  0.374  0.374  0.374
Re  0.000  0.000  0.000
P  0.750  0.750  0.750

Values from the calculation:
ΔE_f = 0.925 eV per atom

---

No. 14
This record from Alexandria via LeMat-Bulk describes crystalline Li6PrPd4 at its relaxed geometry. The functional is PBE.

Cell: 4.093 7.209 7.209 Å, 120.00 90.00 90.00°
Positions (direct):
Li  0.000  0.535  0.070
Li  0.500  0.585  0.792
Li  0.000  0.535  0.465
Li  0.000  0.930  0.465
Li  0.500  0.208  0.792
Li  0.500  0.208  0.415
Pr  0.000  0.000  0.000
Pd  0.500  0.799  0.599
Pd  0.500  0.401  0.201
Pd  0.500  0.799  0.201
Pd  0.000  0.333  0.667

Values from the calculation:
distance to the lowest polymorph of the same formula = 0 meV per atom
ΔE_f = -0.371 eV per atom

---

No. 15
This record from Alexandria via LeMat-Bulk describes crystalline La2AgMo at its relaxed geometry. The functional is PBE.

Cell: 3.615 3.587 8.787 Å, 65.93 90.00 90.00°
Positions (direct):
Ag  0.500  0.750  0.750
La  0.000  0.978  0.022
La  0.000  0.522  0.478
Mo  0.500  0.250  0.250

Values from the calculation:
distance to the lowest polymorph of the same formula = 0 meV per atom
ΔE_f = 0.180 eV per atom

---

No. 16
This record from Alexandria via LeMat-Bulk describes crystalline FeTc2RuN at its relaxed geometry. The functional is PBE.

Cell: 4.007 4.007 3.792 Å, 90.00 90.00 90.00°
Positions (direct):
Ru  0.500  0.500  0.500
N  0.000  0.000  0.000
Tc  0.000  0.500  0.000
Tc  0.500  0.000  0.000
Fe  0.000  0.000  0.500

---

No. 17
This record from Alexandria via LeMat-Bulk describes crystalline BaZnAg at its relaxed geometry. The functional is PBE.

Cell: 6.314 6.330 6.330 Å, 145.21 145.16 50.09°
Positions (direct):
Ag  0.039  0.038  0.001
Ba  0.332  0.332  0.000
Zn  0.629  0.630  0.999

Values from the calculation:
ΔE_f = -0.111 eV per atom

---

No. 18
This record from Alexandria via LeMat-Bulk describes crystalline Cd3CoS at its relaxed geometry. The functional is PBE.

Cell: 5.100 5.100 5.100 Å, 90.00 90.00 90.00°
Last column: magnetic moment on the atom in μB.
Positions (direct):
S  0.000  0.000  0.000  -0.04
Co  0.500  0.500  0.500  2.04
Cd  0.000  0.500  0.000  -0.01
Cd  0.000  0.000  0.500  0.01
Cd  0.500  0.000  0.000  -0.01

Values from the calculation:
distance to the lowest polymorph of the same formula = 248 meV per atom

---

No. 19
This record from Alexandria via LeMat-Bulk describes crystalline NaZr2Pb at its relaxed geometry. The functional is PBE.

Cell: 8.308 8.308 6.558 Å, 50.70 50.70 90.00°
Positions (direct):
Pb  0.000  0.000  0.000
Pb  0.750  0.250  0.500
Na  0.500  0.500  0.000
Na  0.250  0.750  0.500
Zr  0.633  0.125  0.250
Zr  0.117  0.625  0.250
Zr  0.375  0.367  0.750
Zr  0.875  0.883  0.750

Values from the calculation:
ΔE_f = 0.492 eV per atom

---

No. 20
This record from Alexandria via LeMat-Bulk describes crystalline Al2CuP at its relaxed geometry. The functional is PBE.

Cell: 2.832 2.832 7.362 Å, 90.00 90.00 89.97°
Positions (direct):
P  0.500  0.500  0.735
Al  0.000  0.000  0.991
Al  0.500  0.500  0.270
Cu  0.000  0.000  0.505

Values from the calculation:
ΔE_f = 0.094 eV per atom

---

Number 1: volume 372.32 Å³/f.u., total moment 0.0 μB per formula unit, calculated total energy -3.6095 eV/atom. Number 2: volume 73.15 Å³/f.u., total moment 1.9 μB per formula unit, calculated total energy -5.1997 eV/atom. Number 3: volume 170.98 Å³/f.u., total moment 0.0 μB per formula unit, calculated total energy -5.1886 eV/atom. Number 4: volume 194.47 Å³/f.u., total moment 0.0 μB per formula unit, calculated total energy -4.2219 eV/atom. Number 5: volume 298.21 Å³/f.u., total moment 1.2 μB per formula unit, calculated total energy -7.2567 eV/atom. Number 6: volume 141.53 Å³/f.u., total moment 0.0 μB per formula unit, calculated total energy -2.4086 eV/atom. Number 7: volume 342.01 Å³/f.u., total moment 0.0 μB per formula unit, calculated total energy -2.6703 eV/atom. Number 8: volume 130.16 Å³/f.u., total moment 0.0 μB per formula unit, calculated total energy -4.1518 eV/atom. Number 9: volume 113.72 Å³/f.u., total moment 0.0 μB per formula unit, calculated total energy -3.9892 eV/atom. Number 10: volume 122.84 Å³/f.u., total moment 0.0 μB per formula unit, calculated total energy -8.8142 eV/atom. Number 11: volume 360.19 Å³/f.u., total moment 7.5 μB per formula unit, calculated total energy -6.1485 eV/atom. Number 12: volume 61.73 Å³/f.u., total moment 2.1 μB per formula unit, calculated total energy -7.7287 eV/atom. Number 13: volume 117.87 Å³/f.u., total moment 0.0 μB per formula unit, calculated total energy -2.6614 eV/atom. Number 14: volume 184.24 Å³/f.u., total moment 0.0 μB per formula unit, calculated total energy -3.7375 eV/atom. Number 15: volume 104.03 Å³/f.u., total moment 0.0 μB per formula unit, calculated total energy -5.7047 eV/atom. Number 16: volume 60.88 Å³/f.u., total moment 0.0 μB per formula unit, calculated total energy -9.2363 eV/atom. Number 17: volume 82.04 Å³/f.u., total moment 0.0 μB per formula unit, calculated total energy -2.1271 eV/atom. Number 18: volume 132.65 Å³/f.u., total moment 1.9 μB per formula unit, calculated total energy -1.9364 eV/atom. Number 19: volume 100.58 Å³/f.u., total moment 0.0 μB per formula unit, calculated total energy -5.0384 eV/atom. Number 20: volume 59.05 Å³/f.u., total moment 0.0 μB per formula unit, calculated total energy -4.1540 eV/atom.